VASP calculation (GGA-PBE) on a relaxed structure of GdY2Th.

The calculation puts the uncorrected energy at -33.97 eV per cell. The value obtained for the formation enthalpy at 0 K is 11.1 kJ/mol of atoms.

Cell lengths 4.1519, 4.1519, 7.5724 Å; angles 90.00, 90.00, 90.00 degrees
Fractional coordinates of all 4 atoms:
Gd1 0.0000 0.0000 0.0000
Y1 0.5000 0.5000 0.2551
Y2 0.5000 0.5000 0.7449
Th1 0.0000 0.0000 0.5000